#P
A plane-wave DFT calculation with PBE-GGA was carried out for Ti3AlZn after structural relaxation.

Output
Symmetry = No. 194

Lattice parameters (Å, degrees): 4.9402 6.4193 6.4193 119.99 90.00 90.00
With the nearest neighbours (Å) after each atom.
Fractional positions:
Zn: 0.0000 0.0000 0.0000  2 Zn 2.47, 6 Ti 2.52
Ti: 0.2500 0.8025 0.6052  2 Zn 2.52, 2 Ti 2.62
Al: 0.7500 0.6666 0.3334  12 Ti 2.90-3.23
Ti: 0.7500 0.6052 0.8025  2 Zn 2.52, 2 Ti 2.62
Zn: 0.5000 0.0000 0.0000  2 Zn 2.47, 6 Ti 2.52
Ti: 0.2500 0.8026 0.1974  2 Zn 2.52, 2 Ti 2.62
Ti: 0.7500 0.1974 0.8026  2 Zn 2.52, 2 Ti 2.62
Al: 0.2500 0.3334 0.6666  12 Ti 2.90-3.23
Ti: 0.7500 0.1975 0.3948  2 Zn 2.52, 2 Ti 2.62
Ti: 0.2500 0.3948 0.1975  2 Zn 2.52, 2 Ti 2.62



#Q
A plane-wave DFT calculation with PBE-GGA was carried out for Ti3AlZn after structural relaxation.

Output
Symmetry = No. 221

Lattice parameters (Å, degrees): 4.6417 4.6417 4.6417 90.00 90.00 90.00
With the nearest neighbours (Å) after each atom.
Fractional positions:
Zn: 0.0000 0.0000 0.0000  6 Ti 2.32
Al: 0.5000 0.5000 0.5000  12 Ti 3.28
Ti: 0.0000 0.0000 0.5000  2 Zn 2.32
Ti: 0.5000 0.0000 0.0000  2 Zn 2.32
Ti: 0.0000 0.5000 0.0000  2 Zn 2.32



#P has the most favorable energy; the next structure is 437 meV/atom above.



#P
A plane-wave DFT calculation with PBE-GGA was carried out for Ti6AlZn2 after structural relaxation.

Output
Symmetry = No. 71

Lattice parameters (Å, degrees): 2.7027 8.1292 8.1292 57.77 80.43 80.43
With the nearest neighbours (Å) after each atom.
Fractional positions:
Ti: 0.0000 0.8269 0.1731  5 Ti 2.62-2.72, 4 Zn 2.88, 2 Al 2.90
Ti: 0.1683 0.1510 0.5124  6 Ti 2.62-2.87, 3 Zn 2.86
Ti: 0.0000 0.1731 0.8269  5 Ti 2.62-2.72, 4 Zn 2.88, 2 Al 2.90
Zn: 0.6542 0.8458 0.8458  2 Zn 2.70, 10 Ti 2.86-2.88
Ti: 0.8317 0.4876 0.8490  6 Ti 2.62-2.87, 3 Zn 2.86
Ti: 0.1683 0.5124 0.1510  6 Ti 2.62-2.87, 3 Zn 2.86
Ti: 0.8317 0.8490 0.4876  6 Ti 2.62-2.87, 3 Zn 2.86
Zn: 0.3458 0.1542 0.1542  2 Zn 2.70, 10 Ti 2.86-2.88
Al: 0.5000 0.5000 0.5000  2 Al 2.70, 4 Ti 2.90



#Q
A plane-wave DFT calculation with PBE-GGA was carried out for Ti6AlZn2 after structural relaxation.

Output
Symmetry = No. 71

Lattice parameters (Å, degrees): 7.3445 7.3445 7.3445 105.70 113.42 109.39
With the nearest neighbours (Å) after each atom.
Fractional positions:
Ti: 0.8036 0.2571 0.0606  2 Zn 2.59-2.63, 2 Al 2.67-2.78, 2 Ti 2.83
Ti: 0.1964 0.7429 0.9394  2 Zn 2.59-2.63, 2 Al 2.67-2.78, 2 Ti 2.83
Ti: 0.7314 0.0493 0.3179  3 Zn 2.55-2.82, 1 Al 2.79, 2 Ti 2.83
Zn: 0.6518 0.0000 0.6518  1 Zn 2.45, 4 Ti 2.59-2.68
Ti: 0.9192 0.7147 0.2045  3 Zn 2.68-2.73, 4 Ti 2.91-2.93, 2 Al 2.93-3.00
Zn: 0.3482 0.0000 0.3482  1 Zn 2.45, 4 Ti 2.59-2.68
Ti: 0.1964 0.2571 0.4535  2 Zn 2.59-2.63, 2 Al 2.67-2.78, 2 Ti 2.83
Al: 0.0000 0.0000 0.0000  8 Ti 2.78-2.93, 2 Zn 2.81
Ti: 0.0808 0.2853 0.7955  3 Zn 2.68-2.73, 4 Ti 2.91-2.93, 2 Al 2.93-3.00
Ti: 0.2686 0.5865 0.3179  3 Zn 2.55-2.82, 1 Al 2.79, 2 Ti 2.83
Zn: 0.5000 0.6348 0.1348  1 Zn 2.39, 4 Ti 2.55-2.63
Ti: 0.8036 0.7429 0.5465  2 Zn 2.59-2.63, 2 Al 2.67-2.78, 2 Ti 2.83
Al: 0.0000 0.5000 0.5000  8 Ti 2.67-2.79
Ti: 0.4897 0.2853 0.2045  3 Zn 2.68-2.73, 4 Ti 2.91-2.93, 2 Al 2.93-3.00
Zn: 0.5000 0.3652 0.8652  1 Zn 2.39, 4 Ti 2.55-2.63
Ti: 0.5103 0.7147 0.7955  3 Zn 2.68-2.73, 4 Ti 2.91-2.93, 2 Al 2.93-3.00
Ti: 0.7314 0.4135 0.6821  3 Zn 2.55-2.82, 1 Al 2.79, 2 Ti 2.83
Ti: 0.2686 0.9507 0.6821  3 Zn 2.55-2.82, 1 Al 2.79, 2 Ti 2.83



#Q has the most favorable energy; the next structure is 58 meV/atom above.



#P
A plane-wave DFT calculation with PBE-GGA was carried out for Ti3Al2Zn after structural relaxation.

Output
Symmetry = No. 65

Lattice parameters (Å, degrees): 8.1587 6.2560 6.2560 143.20 90.00 90.00
With the nearest neighbours (Å) after each atom.
Fractional positions:
Ti: 0.4697 0.5000 0.5000  4 Ti 2.80, 4 Al 2.83, 4 Zn 2.84
Zn: 0.2197 0.0002 0.0002  4 Al 2.78, 8 Ti 2.84-2.85
Al: 0.2196 0.3349 0.6655  2 Zn 2.78, 2 Al 2.82, 8 Ti 2.83-2.85
Ti: 0.4696 0.8328 0.1671  4 Ti 2.79-2.80, 6 Al 2.84-2.85, 2 Zn 2.85
Ti: 0.9697 0.5000 0.5000  4 Ti 2.80, 4 Al 2.83, 4 Zn 2.84
Al: 0.2196 0.6655 0.3349  2 Zn 2.78, 2 Al 2.82, 8 Ti 2.83-2.85
Ti: 0.9696 0.1672 0.8329  4 Ti 2.79-2.80, 6 Al 2.84-2.85, 2 Zn 2.85
Ti: 0.4696 0.1671 0.8328  4 Ti 2.79-2.80, 6 Al 2.84-2.85, 2 Zn 2.85
Al: 0.7196 0.6651 0.3345  2 Zn 2.78, 2 Al 2.82, 8 Ti 2.83-2.85
Al: 0.7196 0.3345 0.6651  2 Zn 2.78, 2 Al 2.82, 8 Ti 2.83-2.85
Ti: 0.9696 0.8329 0.1672  4 Ti 2.79-2.80, 6 Al 2.84-2.85, 2 Zn 2.85
Zn: 0.7197 0.9998 0.9998  4 Al 2.78, 8 Ti 2.84-2.85



#Q
A plane-wave DFT calculation with PBE-GGA was carried out for Ti3Al2Zn after structural relaxation.

Output
Symmetry = No. 123

Lattice parameters (Å, degrees): 2.8142 2.8142 12.0780 90.00 90.00 90.00
With the nearest neighbours (Å) after each atom.
Fractional positions:
Ti: 0.0000 0.0000 0.6640  4 Zn 2.81, 4 Ti 2.81, 4 Al 2.83
Al: 0.5000 0.5000 0.8308  4 Al 2.81, 8 Ti 2.83-2.85
Al: 0.5000 0.5000 0.1692  4 Al 2.81, 8 Ti 2.83-2.85
Ti: 0.0000 0.0000 0.3360  4 Zn 2.81, 4 Ti 2.81, 4 Al 2.83
Zn: 0.5000 0.5000 0.5000  8 Ti 2.81, 4 Zn 2.81
Ti: 0.0000 0.0000 0.0000  4 Ti 2.81, 8 Al 2.85



#Q has the most favorable energy; the next structure is 5 meV/atom above.